Record 1
First-principles (PBE) data for a relaxed SeS crystal, as listed in Alexandria via LeMat-Bulk.

```
SeS
1.0
3.7719 0.0000 0.0000
0.0000 4.2670 0.0000
0.0000 0.0000 6.7975
Se S
2 2
Direct
0.5000 0.5000 0.2437
0.5000 0.0000 0.7437
0.0000 0.5000 0.4288
0.0000 0.0000 0.9288
```

As for the space group: No. 38. As for the crystal system: orthorhombic. For the calculated volume, the calculation gives 109.40 Å³ per cell. The offset from the most stable computed form comes out at 0.241 eV per atom. For the total moment, the calculation gives 0.00 μB/f.u. Its uncorrected formation energy is 0.29 eV per atom.


Record 2
First-principles (PBE) data for a relaxed Sm4MgAl crystal, as listed in Alexandria via LeMat-Bulk.

```
Sm4MgAl
1.0
-2.8325 4.1954 0.5061
-4.9732 -0.0761 -1.6334
-4.9169 -1.1475 7.5625
Sm Mg Al
4 1 1
Direct
0.3775 0.3864 0.8585
0.1285 0.1291 0.6140
0.8715 0.8709 0.3860
0.6225 0.6136 0.1415
0.0000 0.0000 0.0000
0.5000 0.5000 0.5000
```

As for the space group: No. 12. As for the crystal system: monoclinic. For the calculated volume, the calculation gives 201.12 Å³ per cell. The value obtained for the calculated formation energy is 0.185 eV/atom. The offset from the most stable computed form comes out at 0.312 eV per atom. For the total moment, the calculation gives 0.00 μB/f.u.


Record 3
First-principles (PBE) data for a relaxed SiSb2Os crystal, as listed in Alexandria via LeMat-Bulk.

```
SiSb2Os
1.0
4.4074 0.0000 0.0000
0.0000 4.7026 -0.0050
0.0000 2.1629 4.1763
Si Sb Os
1 2 1
Direct
0.0000 0.5667 0.5665
0.5000 0.3311 0.3312
0.0000 0.9088 0.9090
0.5000 0.6933 0.6933
```

As for the space group: No. 38. As for the crystal system: orthorhombic. For the calculated volume, the calculation gives 86.61 Å³ per cell. For the total moment, the calculation gives 0.00 μB/f.u. Its uncorrected formation energy is 0.18 eV per atom.


Record 4
First-principles (PBE) data for a relaxed Ba6Sn2H crystal, as listed in Alexandria via LeMat-Bulk.

```
Ba6Sn2H
1.0
-4.3847 -6.4617 -0.6306
6.7358 -4.2092 -3.7038
3.4916 -3.4318 10.2500
Ba Sn H
12 4 2
Direct
0.4049 0.5233 0.7517
0.1831 0.3126 0.4495
0.6872 0.1828 0.5487
0.0951 0.0233 0.7483
0.3169 0.8126 0.0505
0.8128 0.6828 0.9513
0.8169 0.6874 0.5505
0.6831 0.1874 0.9495
0.3128 0.8172 0.4513
0.5951 0.4767 0.2483
0.9049 0.9767 0.2517
0.1872 0.3172 0.0487
0.5318 0.9105 0.7503
0.0318 0.5895 0.2503
0.4682 0.0895 0.2497
0.9682 0.4105 0.7497
0.0000 0.0000 0.5000
0.5000 0.5000 0.0000
```

For the total energy, the calculation gives -0.109 Ha/atom. As for the space group: No. 14. As for the crystal system: monoclinic. For the calculated volume, the calculation gives 779.91 Å³ per cell. For the total moment, the calculation gives 0.00 μB/f.u.


Record 5
First-principles (PBE) data for a relaxed SrOsPb2O8 crystal, as listed in Alexandria via LeMat-Bulk.

```
SrOsPb2O8
1.0
5.1922 0.0530 -0.0037
0.0918 5.1306 -0.0058
0.0048 0.0076 6.9745
O Pb Os Sr
8 2 1 1
Direct
0.8329 0.1965 0.8049
0.7262 0.7592 0.0000
0.1670 0.8034 0.8049
0.1671 0.8035 0.1951
0.6626 0.6957 0.5000
0.2738 0.2408 0.0000
0.8330 0.1966 0.1951
0.3374 0.3043 0.5000
0.5001 0.5001 0.7502
0.4999 0.4999 0.2498
0.0000 0.0000 0.0000
0.0000 0.0000 0.5000
```

As for the space group: No. 10. As for the crystal system: monoclinic. For the calculated volume, the calculation gives 185.76 Å³ per cell. For the total moment, the calculation gives 0.00 μB/f.u. Its uncorrected formation energy is -1.21 eV per atom.


Record 6
First-principles (PBE) data for a relaxed LiYLuMn crystal, as listed in Alexandria via LeMat-Bulk.

```
LiYLuMn
1.0
4.9831 0.0000 0.0000
2.4915 4.3155 0.0000
2.4915 1.4385 4.0687
Y Lu Li Mn
1 1 1 1
Direct
0.2500 0.2500 0.2500
0.7500 0.7500 0.7500
0.5000 0.5000 0.5000
0.0000 0.0000 0.0000
```

As for the space group: No. 216. As for the crystal system: cubic. For the calculated volume, the calculation gives 87.49 Å³ per cell. The value obtained for the calculated formation energy is 0.114 eV/atom. For the total moment, the calculation gives 2.55 μB/f.u.


Record 7
First-principles (PBE) data for a relaxed ZnMo crystal, as listed in Alexandria via LeMat-Bulk.

```
ZnMo
1.0
-0.2174 0.2222 2.6209
-3.1285 -4.2399 -1.2289
3.5244 -2.7530 0.5258
Zn Mo
2 2
Direct
0.1758 0.3517 0.2500
0.8242 0.6483 0.7500
0.4364 0.8729 0.2500
0.5636 0.1271 0.7500
```

As for the space group: No. 63. As for the crystal system: orthorhombic. For the calculated volume, the calculation gives 62.36 Å³ per cell. The value obtained for the calculated formation energy is 0.296 eV/atom. The offset from the most stable computed form comes out at 0.234 eV per atom. For the total moment, the calculation gives 0.00 μB/f.u.


Record 8
First-principles (PBE) data for a relaxed Li4HoMg15 crystal, as listed in Alexandria via LeMat-Bulk.

```
Li4HoMg15
1.0
-1.7131 -3.7405 1.8207
2.9906 0.2615 3.3510
-14.3656 12.3507 11.8569
Li Mg Ho
4 15 1
Direct
0.0000 0.0000 0.2037
0.0000 0.0000 0.5961
0.0000 0.0000 0.4039
0.0000 0.0000 0.7963
0.5000 0.0000 0.1073
0.5000 0.5000 0.2083
0.5000 0.5000 0.5979
0.5000 0.5000 0.0000
0.0000 0.5000 0.8927
0.0000 0.5000 0.1073
0.5000 0.0000 0.6953
0.5000 0.5000 0.7917
0.5000 0.5000 0.4021
0.0000 0.5000 0.6953
0.5000 0.0000 0.8927
0.5000 0.0000 0.3047
0.0000 0.5000 0.5000
0.5000 0.0000 0.5000
0.0000 0.5000 0.3047
0.0000 0.0000 0.0000
```

As for the space group: No. 123. As for the crystal system: tetragonal. For the calculated volume, the calculation gives 452.37 Å³ per cell. The value obtained for the calculated formation energy is -0.035 eV/atom. For the total moment, the calculation gives 0.00 μB/f.u.